Compound: Re2MoPb
Source: Alexandria
Functional: GGA-PBE
Structure: relaxed

The structure in POSCAR format:
```
Re2MoPb
1.0
6.482 0.000 0.000
0.000 6.482 0.000
0.000 0.000 6.482
Re Mo Pb
8 4 4
direct
0.000 0.000 0.000 Re
0.000 0.500 0.500 Re
0.250 0.250 0.250 Re
0.250 0.750 0.750 Re
0.500 0.000 0.500 Re
0.500 0.500 0.000 Re
0.750 0.250 0.750 Re
0.750 0.750 0.250 Re
0.250 0.250 0.750 Mo
0.250 0.750 0.250 Mo
0.750 0.250 0.250 Mo
0.750 0.750 0.750 Mo
0.000 0.000 0.500 Pb
0.000 0.500 0.000 Pb
0.500 0.000 0.000 Pb
0.500 0.500 0.500 Pb
```

Computed properties:
Crystal system ... cubic
Magnetization ... 0.000 μB per atom
Fermi-level density of states ... 0.933 states/eV/atom
Energy of formation ... 3.40 eV/f.u.

=====

Compound: Nd2Y7Th3
Source: Alexandria
Functional: GGA-PBE
Structure: relaxed

The structure in POSCAR format:
```
Nd2Y7Th3
1.0
2.977 -18.871 0.000
2.977 18.871 0.000
0.000 0.000 3.596
Nd Y Th
2 7 3
direct
0.174 0.826 0.000 Nd
0.826 0.174 0.000 Nd
0.000 0.000 0.000 Y
0.088 0.912 0.500 Y
0.273 0.727 0.000 Y
0.426 0.574 0.000 Y
0.574 0.426 0.000 Y
0.727 0.273 0.000 Y
0.912 0.088 0.500 Y
0.349 0.651 0.500 Th
0.500 0.500 0.500 Th
0.651 0.349 0.500 Th
```

Computed properties:
Crystal system ... orthorhombic
Magnetization ... 0.000 μB per atom
Fermi-level density of states ... 1.619 states/eV/atom
Energy of formation ... 2.16 eV/f.u.

=====

Compound: Ba2AgIr
Source: Alexandria
Functional: GGA-PBE
Structure: relaxed

The structure in POSCAR format:
```
Ba2AgIr
1.0
8.720 0.000 0.000
0.000 8.720 0.000
0.000 0.000 6.832
Ba Ag Ir
8 4 4
direct
0.207 0.750 0.125 Ba
0.250 0.207 0.875 Ba
0.250 0.293 0.375 Ba
0.293 0.750 0.625 Ba
0.707 0.250 0.625 Ba
0.750 0.707 0.375 Ba
0.750 0.793 0.875 Ba
0.793 0.250 0.125 Ba
0.000 0.000 0.500 Ag
0.000 0.500 0.750 Ag
0.500 0.000 0.250 Ag
0.500 0.500 0.000 Ag
0.000 0.000 0.000 Ir
0.000 0.500 0.250 Ir
0.500 0.000 0.750 Ir
0.500 0.500 0.500 Ir
```

Computed properties:
Distance to the lowest polymorph of the same formula ... 276 meV per atom
Crystal system ... tetragonal
Magnetization ... 0.000 μB per atom
Fermi-level density of states ... 0.212 states/eV/atom
Energy of formation ... 0.75 eV/f.u.

=====

Compound: POsN2
Source: Alexandria
Functional: GGA-PBE
Structure: relaxed

The structure in POSCAR format:
```
POsN2
1.0
2.776 0.000 0.000
0.000 3.763 0.000
0.000 0.000 8.146
P Os N
2 2 4
direct
0.000 0.000 0.000 P
0.000 0.500 0.500 P
0.500 0.000 0.743 Os
0.500 0.500 0.243 Os
0.000 0.000 0.559 N
0.000 0.500 0.059 N
0.500 0.000 0.151 N
0.500 0.500 0.651 N
```

Computed properties:
Crystal system ... orthorhombic
Formation energy (no corrections) ... 8.3 kcal/mol of atoms
Magnetization ... 0.000 μB per atom
Fermi-level density of states ... 0.363 states/eV/atom